1.
The following is a PBE calculation of a relaxed YHoTlOs crystal, from the Alexandria database.

```
YHoTlOs
1.0
5.059 0.000 0.000
2.530 4.381 0.000
2.530 1.460 4.131
Y Tl Os Ho
1 1 1 1
Direct
0.750 0.750 0.750
0.000 0.000 0.000
0.500 0.500 0.500
0.250 0.250 0.250
```

Total magnetization (μB/cell): 0.0
Energy (eV for the cell shown): -25.27

2.
The following is a PBE calculation of a relaxed HoZrTlOs crystal, from the Alexandria database.

```
HoZrTlOs
1.0
3.285 0.000 0.000
0.000 3.285 0.000
0.000 0.000 8.226
Ho Zr Tl Os
1 1 1 1
Direct
0.500 0.500 0.778
0.500 0.500 0.368
0.000 0.000 0.084
0.000 0.000 0.555
```

Total magnetization (μB/cell): 0.0
Energy (eV for the cell shown): -27.97

3.
The following is a PBE calculation of a relaxed Ho2TmOs crystal, from the Alexandria database.

```
Ho2TmOs
1.0
3.376 0.000 0.000
0.000 3.376 0.000
0.000 0.000 9.181
Tm Os Ho
1 1 2
Direct
0.500 0.500 0.500
0.500 0.500 0.000
0.000 0.000 0.819
0.000 0.000 0.181
```

Excess energy over the best structure of this formula in the dataset (meV/atom): 178
Total magnetization (μB/cell): 0.0

4.
The following is a PBE calculation of a relaxed Ho2TmOs crystal, from the Alexandria database.

```
Ho2TmOs
1.0
-1.161 -1.584 2.783
2.034 -0.405 2.702
-3.086 8.759 5.783
Tm Os Ho
1 1 2
Direct
0.000 0.000 0.000
0.500 0.500 0.500
0.104 0.104 0.687
0.896 0.896 0.313
```

Excess energy over the best structure of this formula in the dataset (meV/atom): 552
Total magnetization (μB/cell): 0.4

5.
The following is a PBE calculation of a relaxed HoTmOs crystal, from the Alexandria database.

```
HoTmOs
1.0
-0.355 -4.633 -0.927
1.899 -1.776 -3.961
3.839 -2.766 0.247
Tm Os Ho
1 1 1
Direct
0.000 0.000 0.000
0.250 0.250 0.250
0.500 0.500 0.500
```

Excess energy over the best structure of this formula in the dataset (meV/atom): 30
Total magnetization (μB/cell): 0.0

6.
The following is a PBE calculation of a relaxed HoTmOs crystal, from the Alexandria database.

```
HoTmOs
1.0
3.380 0.000 -0.719
0.000 5.092 0.000
-0.043 0.000 8.105
Ho Tm Os
2 2 2
Direct
0.928 0.250 0.857
0.072 0.750 0.143
0.210 0.250 0.420
0.790 0.750 0.580
0.575 0.250 0.149
0.425 0.750 0.851
```

Excess energy over the best structure of this formula in the dataset (meV/atom): 119
Total magnetization (μB/cell): 0.0

7.
The following is a PBE calculation of a relaxed HoTm2Os crystal, from the Alexandria database.

```
HoTm2Os
1.0
3.378 0.000 0.000
1.689 2.925 0.000
1.689 0.975 10.786
Tm Os Ho
2 1 1
Direct
0.105 0.105 0.686
0.895 0.895 0.314
0.500 0.500 0.500
0.000 0.000 0.000
```

Excess energy over the best structure of this formula in the dataset (meV/atom): 534
Total magnetization (μB/cell): 0.4

8.
The following is a PBE calculation of a relaxed HoTm3Os crystal, from the Alexandria database.

```
HoTm3Os
1.0
3.389 0.000 -0.995
-0.681 9.152 -2.320
0.715 -0.177 8.701
Ho Tm Os
2 6 2
Direct
0.693 0.309 0.385
0.307 0.691 0.615
0.001 0.175 0.002
0.999 0.825 0.998
0.314 0.130 0.629
0.686 0.870 0.371
0.099 0.541 0.197
0.901 0.459 0.803
0.863 0.934 0.725
0.137 0.066 0.275
```

Excess energy over the best structure of this formula in the dataset (meV/atom): 0
Total magnetization (μB/cell): 0.7

9.
The following is a PBE calculation of a relaxed Ho2Tm3Os2 crystal, from the Alexandria database.

```
Ho2Tm3Os2
1.0
3.959 0.000 0.000
-1.979 5.842 -0.176
0.000 -2.927 7.644
Ho Tm Os
2 3 2
Direct
0.836 0.672 0.186
0.164 0.328 0.814
0.500 0.000 0.000
0.626 0.251 0.431
0.374 0.749 0.569
0.824 0.648 0.785
0.176 0.352 0.215
```

Total magnetization (μB/cell): 0.0
Energy (eV for the cell shown): -47.05

10.
The following is a PBE calculation of a relaxed HoTm2Os crystal, from the Alexandria database.

```
HoTm2Os
1.0
-1.038 2.479 2.023
-3.122 -1.252 -0.068
1.889 -5.103 7.223
Tm Os Ho
2 1 1
Direct
0.000 0.000 0.819
0.000 0.000 0.181
0.500 0.500 0.000
0.500 0.500 0.500
```

Excess energy over the best structure of this formula in the dataset (meV/atom): 138
Total magnetization (μB/cell): 0.0

11.
The following is a PBE calculation of a relaxed HoTm3Os crystal, from the Alexandria database.

```
HoTm3Os
1.0
-3.838 -0.974 3.594
3.353 -3.151 2.726
1.621 4.210 2.873
Tm Os Ho
3 1 1
Direct
0.000 0.500 0.000
0.000 0.000 0.500
0.500 0.000 0.000
0.000 0.000 0.000
0.500 0.500 0.500
```

Excess energy over the best structure of this formula in the dataset (meV/atom): 12
Total magnetization (μB/cell): 0.0

12.
The following is a PBE calculation of a relaxed HoTmOs4 crystal, from the Alexandria database.

```
HoTmOs4
1.0
-3.207 0.025 -4.263
-4.336 -3.107 -0.095
-4.855 2.186 0.328
Tm Os Ho
1 4 1
Direct
0.000 0.000 0.000
0.625 0.625 0.125
0.625 0.125 0.625
0.625 0.625 0.625
0.125 0.625 0.625
0.250 0.250 0.250
```

Total magnetization (μB/cell): 0.0
Energy (eV for the cell shown): -55.81

13.
The following is a PBE calculation of a relaxed HoTmOs crystal, from the Alexandria database.

```
HoTmOs
1.0
3.369 0.000 0.000
0.000 3.369 0.000
-1.684 -1.684 6.484
Tm Os Ho
1 1 1
Direct
0.041 0.041 0.082
0.666 0.666 0.331
0.293 0.293 0.587
```

Excess energy over the best structure of this formula in the dataset (meV/atom): 0
Total magnetization (μB/cell): 0.0

no.,density (g/cm3)
1,11.8
2,12.2
3,10.9
4,10.6
5,11.6
6,12.5
7,10.8
8,10.4
9,11.6
10,11.2
11,9.4
12,16.9
13,11.8